# TiFe4Pb PBE relaxed
# Calculated formation energy in meV per atom: 28.3
# E in eV per atom: -7.5474
data_TiFe4Pb
_cell_length_a 6.946
_cell_length_b 6.946
_cell_length_c 6.946
_cell_angle_alpha 90.00
_cell_angle_beta 90.00
_cell_angle_gamma 90.00
_symmetry_space_group_name_H-M 'F -4 3 m'
_symmetry_Int_Tables_number 216
_symmetry_space_group_name_Hall 'F -4 2 3'
loop_
_atom_site_label
_atom_site_fract_x
_atom_site_fract_y
_atom_site_fract_z
Ti1 0.000 0.000 0.000
Fe1 0.126 0.126 0.626
Pb1 0.250 0.250 0.250

# BaSbN2O PBE relaxed
# Formation energy (no corrections) in meV per atom: 1459
# E in eV per atom: -4.0714
data_BaSbN2O
_cell_length_a 4.656
_cell_length_b 4.656
_cell_length_c 4.422
_cell_angle_alpha 90.00
_cell_angle_beta 90.00
_cell_angle_gamma 90.00
_symmetry_space_group_name_H-M 'P 4/m m m'
_symmetry_Int_Tables_number 123
_symmetry_space_group_name_Hall '-P 4 2'
loop_
_atom_site_label
_atom_site_fract_x
_atom_site_fract_y
_atom_site_fract_z
Ba1 0.000 0.000 0.000
Sb1 0.500 0.500 0.500
N1 0.000 0.500 0.000
O1 0.000 0.000 0.500

# LiLaCdNi PBE relaxed
# Calculated formation energy in meV per atom: -157.4
# E in eV per atom: -3.5418
data_LiLaCdNi
_cell_length_a 6.873
_cell_length_b 6.873
_cell_length_c 6.873
_cell_angle_alpha 90.00
_cell_angle_beta 90.00
_cell_angle_gamma 90.00
_symmetry_space_group_name_H-M 'F -4 3 m'
_symmetry_Int_Tables_number 216
_symmetry_space_group_name_Hall 'F -4 2 3'
loop_
_atom_site_label
_atom_site_fract_x
_atom_site_fract_y
_atom_site_fract_z
Li1 0.000 0.000 0.000
La1 0.250 0.250 0.750
Cd1 0.250 0.250 0.250
Ni1 0.000 0.000 0.500

# MgHOF PBE relaxed
# Polymorph energy (0 for the lowest one) in eV per formula unit: 0.11
# E in eV per atom: -5.3530
data_MgHOF
_cell_length_a 5.417
_cell_length_b 3.128
_cell_length_c 5.319
_cell_angle_alpha 90.00
_cell_angle_beta 110.06
_cell_angle_gamma 90.00
_symmetry_space_group_name_H-M 'C 1 m 1'
_symmetry_Int_Tables_number 8
_symmetry_space_group_name_Hall 'C -2y'
loop_
_atom_site_label
_atom_site_fract_x
_atom_site_fract_y
_atom_site_fract_z
Mg1 0.000 0.000 0.000
H1 0.204 0.000 0.617
O1 0.270 0.000 0.811
F1 0.240 0.500 0.217

# Co3TePb PBE relaxed
# Formation energy (no corrections) in meV per atom: 876
# Polymorph energy (0 for the lowest one) in eV per formula unit: 0.00
# E in eV per atom: -4.7574
data_Co3TePb
_cell_length_a 4.709
_cell_length_b 4.709
_cell_length_c 4.709
_cell_angle_alpha 90.00
_cell_angle_beta 90.00
_cell_angle_gamma 90.00
_symmetry_space_group_name_H-M 'P m -3 m'
_symmetry_Int_Tables_number 221
_symmetry_space_group_name_Hall '-P 4 2 3'
loop_
_atom_site_label
_atom_site_fract_x
_atom_site_fract_y
_atom_site_fract_z
Co1 0.000 0.000 0.500
Te1 0.000 0.000 0.000
Pb1 0.500 0.500 0.500

# PmDyZn PBE relaxed
# Polymorph energy (0 for the lowest one) in eV per formula unit: 0.70
# Calculated formation energy in meV per atom: 28.5
# E in eV per atom: -3.5137
data_PmDyZn
_cell_length_a 10.017
_cell_length_b 4.991
_cell_length_c 7.093
_cell_angle_alpha 90.00
_cell_angle_beta 90.00
_cell_angle_gamma 90.00
_symmetry_space_group_name_H-M 'P n m a'
_symmetry_Int_Tables_number 62
_symmetry_space_group_name_Hall '-P 2ac 2n'
loop_
_atom_site_label
_atom_site_fract_x
_atom_site_fract_y
_atom_site_fract_z
Pm1 0.131 0.250 0.002
Dy1 0.120 0.250 0.502
Zn1 0.125 0.750 0.253